1.
Ti6NiPd5 PBE relaxed; symmetry = No. 12; energy of formation from the pure elements = -0.48 eV per atom
1.0
6.821 -2.829 0.000
6.821 2.829 0.000
-0.178 0.000 4.759
Ti Ni Pd
6 1 5
direct
0.084 0.591 0.336
0.244 0.756 0.000
0.409 0.916 0.664
0.591 0.084 0.336
0.756 0.244 0.000
0.916 0.409 0.664
0.000 0.000 0.500
0.166 0.166 0.174
0.332 0.332 0.835
0.500 0.500 0.500
0.668 0.668 0.165
0.834 0.834 0.826

***

2.
SrLaTlCl6 PBE relaxed; symmetry = No. 163; E_form (uncorrected) = -2.116 eV/atom
1.0
7.571 0.000 0.000
-3.785 6.556 0.000
0.000 0.000 13.379
Sr La Tl Cl
2 2 2 12
direct
0.333 0.667 0.250
0.667 0.333 0.750
0.333 0.667 0.750
0.667 0.333 0.250
0.000 0.000 0.000
0.000 0.000 0.500
0.011 0.371 0.635
0.011 0.640 0.865
0.360 0.371 0.865
0.360 0.989 0.635
0.371 0.011 0.135
0.371 0.360 0.365
0.629 0.640 0.635
0.629 0.989 0.865
0.640 0.011 0.365
0.640 0.629 0.135
0.989 0.360 0.135
0.989 0.629 0.365

***

3.
TlCu2Mo PBE relaxed; symmetry = No. 166; relative energy among the computed polymorphs = 178 meV/atom; energy of formation from the pure elements = 0.60 eV per atom
1.0
1.466 0.846 9.011
-1.466 0.846 9.011
0.000 -1.692 9.011
Tl Cu Mo
1 2 1
direct
0.000 0.000 0.000
0.244 0.244 0.244
0.756 0.756 0.756
0.500 0.500 0.500

***

4.
PuBeIr2 PBE relaxed; symmetry = No. 123; energy of formation from the pure elements = -0.37 eV per atom
1.0
2.948 0.000 0.000
0.000 2.948 0.000
0.000 0.000 6.912
Pu Be Ir
1 1 2
direct
0.000 0.000 0.000
0.000 0.000 0.500
0.500 0.500 0.304
0.500 0.500 0.696

***

5.
Ce2PuHg4 PBE relaxed; symmetry = No. 139; relative energy among the computed polymorphs = 138 meV/atom; energy of formation from the pure elements = 0.02 eV per atom
1.0
-2.940 2.940 6.121
2.940 -2.940 6.121
2.940 2.940 -6.121
Ce Pu Hg
2 1 4
direct
0.133 0.133 0.000
0.867 0.867 0.000
0.500 0.500 0.000
0.000 0.500 0.500
0.250 0.750 0.500
0.500 0.000 0.500
0.750 0.250 0.500

***

6.
BeSiRu2 PBE relaxed; symmetry = No. 35; E_form (uncorrected) = 0.248 eV/atom; relative energy among the computed polymorphs = 805 meV/atom
1.0
1.396 -2.291 0.000
1.396 2.291 0.000
0.000 0.000 8.106
Be Si Ru
1 1 2
direct
0.000 0.000 0.000
0.500 0.500 0.756
0.000 0.000 0.515
0.500 0.500 0.226

***

7.
Ac2Ge2H4Os PBE relaxed; symmetry = No. 139; total energy = -4.913 eV/atom
1.0
-3.155 3.155 3.723
3.155 -3.155 3.723
3.155 3.155 -3.723
Ac Ge H Os
2 2 4 1
direct
0.250 0.750 0.500
0.750 0.250 0.500
0.161 0.161 0.000
0.839 0.839 0.000
0.305 0.305 0.611
0.305 0.695 0.000
0.695 0.305 0.000
0.695 0.695 0.389
0.500 0.500 0.000

***

8.
ZnIrS2N PBE relaxed; symmetry = No. 123; E_form (uncorrected) = 1.511 eV/atom; relative energy among the computed polymorphs = 1048 meV/atom
1.0
4.714 0.000 0.000
0.000 4.714 0.000
0.000 0.000 3.513
Zn Ir S N
1 1 2 1
direct
0.000 0.000 0.000
0.500 0.500 0.500
0.000 0.500 0.000
0.500 0.000 0.000
0.000 0.000 0.500

***

9.
SrRe2P PBE relaxed; symmetry = No. 10; energy of formation from the pure elements = 0.72 eV per atom
1.0
2.716 0.000 0.000
0.000 5.205 0.000
-0.003 0.000 5.180
Sr Re P
1 2 1
direct
0.000 0.000 0.000
0.389 0.500 0.729
0.611 0.500 0.271
0.500 0.000 0.500

***

10.
Sr2ScCdO5 PBE relaxed; symmetry = No. 36; E_form (uncorrected) = -2.364 eV/atom
1.0
1.827 -7.022 0.000
1.827 7.022 0.000
0.000 0.000 10.306
Sr Sc Cd O
4 2 2 10
direct
0.116 0.884 0.500
0.131 0.869 0.105
0.869 0.131 0.605
0.884 0.116 0.000
0.469 0.531 0.294
0.531 0.469 0.794
0.220 0.780 0.823
0.780 0.220 0.323
0.047 0.953 0.873
0.291 0.709 0.469
0.329 0.671 0.190
0.381 0.619 0.807
0.490 0.510 0.100
0.510 0.490 0.600
0.619 0.381 0.307
0.671 0.329 0.690
0.709 0.291 0.969
0.953 0.047 0.373

***

11.
BaNaLi2 PBE relaxed; symmetry = No. 225; relative energy among the computed polymorphs = 26 meV/atom; energy of formation from the pure elements = 0.10 eV per atom
1.0
0.000 4.205 4.205
4.205 0.000 4.205
4.205 4.205 0.000
Ba Na Li
1 1 2
direct
0.000 0.000 0.000
0.500 0.500 0.500
0.250 0.250 0.250
0.750 0.750 0.750

***

12.
Bi2MoPtAu PBE relaxed; symmetry = No. 123; energy of formation from the pure elements = 1.07 eV per atom
1.0
5.276 0.000 0.000
0.000 5.276 0.000
0.000 0.000 5.008
Bi Mo Pt Au
2 1 1 1
direct
0.000 0.500 0.000
0.500 0.000 0.000
0.000 0.000 0.000
0.500 0.500 0.500
0.000 0.000 0.500